A geometry-optimized LaNdY3Ho structure, computed with GGA-PBE.

Results
Space group = Cmcm, No. 63
Energy = -5.507 eV/atom
Formation enthalpy at 0 K = 60 kJ/mol of formula units

a = 5.9229 Å, b = 6.4625 Å, c = 11.8531 Å
α = 90.00°, β = 90.00°, γ = 117.27°
With the nearest neighbours (Å) after each atom.
Atoms (fractional coordinates):
La  0.4972  0.9944  0.7500  3 Ho 3.54-3.81, 7 Y 3.57-3.72
La  0.5028  0.0056  0.2500  3 Ho 3.54-3.81, 7 Y 3.57-3.72
Nd  0.0000  0.0000  0.5000  2 Ho 3.55, 8 Y 3.57-3.75
Nd  0.0000  0.0000  0.0000  2 Ho 3.55, 8 Y 3.57-3.75
Y  0.6740  0.3480  0.5024  1 Ho 3.43, 3 Y 3.44-3.47, 2 La 3.57-3.58, 3 Nd 3.57-3.75
Y  0.3260  0.6520  0.4976  1 Ho 3.43, 3 Y 3.44-3.47, 2 La 3.57-3.58, 3 Nd 3.57-3.75
Y  0.3260  0.6520  0.0024  1 Ho 3.43, 3 Y 3.44-3.47, 2 La 3.57-3.58, 3 Nd 3.57-3.75
Y  0.6740  0.3480  0.9976  1 Ho 3.43, 3 Y 3.44-3.47, 2 La 3.57-3.58, 3 Nd 3.57-3.75
Y  0.1732  0.3463  0.7500  2 Ho 3.46, 2 Y 3.47, 2 Nd 3.57, 3 La 3.59-3.72
Y  0.8268  0.6537  0.2500  2 Ho 3.46, 2 Y 3.47, 2 Nd 3.57, 3 La 3.59-3.72
Ho  0.8291  0.6583  0.7500  4 Y 3.43-3.46, 3 La 3.54-3.81, 2 Nd 3.55
Ho  0.1709  0.3417  0.2500  4 Y 3.43-3.46, 3 La 3.54-3.81, 2 Nd 3.55